(1)
# Mg3SnW

A relaxed structure of Mg3SnW (PBE-GGA, Alexandria via LeMat-Bulk).

Lattice parameters (Å, degrees): 5.263 5.263 5.263 90.00 90.00 90.00
Last column: magnetic moment on the atom in μB.
Atoms (fractional coordinates):
Mg1 0.000 0.500 0.000  -0.01
Mg2 0.000 0.000 0.500  -0.03
Mg3 0.500 0.000 0.000  -0.01
Sn1 0.000 0.000 0.000  0.06
W1 0.500 0.500 0.500  3.03

Output
The formation enthalpy at 0 K is 1377 meV/atom. The calculation puts the density of states at the Fermi level at 0.553 states/eV/atom. Its energy relative to the lowest polymorph listed for this composition is 97 kJ/mol of formula units. The value obtained for the calculated density is 4.276 g cm⁻³.

(2)
# CdAg2Au

A relaxed structure of CdAg2Au (PBE-GGA, Alexandria via LeMat-Bulk).

Lattice parameters (Å, degrees): 9.643 9.643 9.643 18.04 18.04 18.04
Atoms (fractional coordinates):
Au1 0.250 0.250 0.250
Ag1 0.998 0.998 0.998
Ag2 0.502 0.502 0.502
Cd1 0.750 0.750 0.750

Output
The formation enthalpy at 0 K is -25 meV/atom. The calculation puts the density of states at the Fermi level at 0.255 states/eV/atom. The value obtained for the calculated density is 11.619 g cm⁻³.

Copy entry 2 word for word.
# CdAg2Au

A relaxed structure of CdAg2Au (PBE-GGA, Alexandria via LeMat-Bulk).

Lattice parameters (Å, degrees): 9.643 9.643 9.643 18.04 18.04 18.04
Atoms (fractional coordinates):
Au1 0.250 0.250 0.250
Ag1 0.998 0.998 0.998
Ag2 0.502 0.502 0.502
Cd1 0.750 0.750 0.750

Output
The formation enthalpy at 0 K is -25 meV/atom. The calculation puts the density of states at the Fermi level at 0.255 states/eV/atom. The value obtained for the calculated density is 11.619 g cm⁻³.

- Which formula does entry 2 have?
  CdAg2Au

- Number 2 is which compound?
  CdAg2Au